No. 1
Material: Ac3Y3PuTe8
Method: DFT, GGA-PBE
State: relaxed

a = 8.970 Å, b = 8.970 Å, c = 9.155 Å
α = 119.34°, β = 90.00°, γ = 120.00°
Last column: magnetic moment on the atom in μB.
Positions (direct):
Ac  0.000  0.000  0.000  0.02
Ac  0.000  0.500  0.000  0.02
Ac  0.500  0.500  0.000  0.02
Y  0.500  0.000  0.500  0.04
Y  0.500  0.500  0.500  0.04
Y  0.000  0.500  0.500  0.04
Pu  0.000  0.000  0.500  5.54
Te  0.258  0.517  0.275  0.00
Te  0.742  0.483  0.725  0.00
Te  0.749  0.497  0.265  -0.02
Te  0.251  0.503  0.735  -0.02
Te  0.749  0.017  0.265  -0.02
Te  0.251  0.983  0.735  -0.02
Te  0.268  0.017  0.265  -0.02
Te  0.732  0.983  0.735  -0.02

VASP energy	-6.14	eV/atom

=====

No. 2
Material: Pt2Br3
Method: DFT, GGA-PBE
State: relaxed

a = 8.159 Å, b = 7.042 Å, c = 7.380 Å
α = 68.86°, β = 53.61°, γ = 57.53°
Positions (direct):
Pt  0.455  0.400  0.365
Pt  0.365  0.779  0.455
Pt  0.850  0.795  0.471
Pt  0.471  0.885  0.850
Br  0.333  0.294  0.766
Br  0.766  0.607  0.333
Br  0.956  0.917  0.643
Br  0.643  0.484  0.956
Br  0.080  0.920  0.080
Br  0.330  0.170  0.330

VASP energy	-3.41	eV/atom

=====

No. 3
Material: TbInNi
Method: DFT, GGA-PBE
State: relaxed

a = 4.582 Å, b = 4.582 Å, c = 4.582 Å
α = 60.00°, β = 60.00°, γ = 60.00°
Positions (direct):
Ni  0.250  0.250  0.250
Tb  0.000  0.000  0.000
In  0.500  0.500  0.500

VASP energy	-4.73	eV/atom

=====

No. 4
Material: Y3TiB
Method: DFT, GGA-PBE
State: relaxed

a = 5.074 Å, b = 5.074 Å, c = 5.074 Å
α = 90.00°, β = 90.00°, γ = 90.00°
Last column: magnetic moment on the atom in μB.
Positions (direct):
Y  0.000  0.500  0.000  0.08
Y  0.000  0.000  0.500  0.11
Y  0.500  0.000  0.000  0.14
B  0.000  0.000  0.000  -0.03
Ti  0.500  0.500  0.500  1.54

energy above the most stable polymorph in this dataset	0	meV/atom

=====

No. 5
Material: CrSbPb2
Method: DFT, GGA-PBE
State: relaxed

a = 4.649 Å, b = 4.649 Å, c = 4.942 Å
α = 90.00°, β = 90.00°, γ = 90.00°
Last column: magnetic moment on the atom in μB.
Positions (direct):
Cr  0.000  0.500  0.500  3.91
Pb  0.000  0.000  0.000  -0.03
Pb  0.500  0.500  0.000  -0.03
Sb  0.500  0.000  0.500  -0.06

VASP energy	-4.93	eV/atom

=====

No. 6
Material: RbAlCuRe2
Method: DFT, GGA-PBE
State: relaxed

a = 4.726 Å, b = 4.726 Å, c = 5.788 Å
α = 90.00°, β = 90.00°, γ = 90.00°
Last column: magnetic moment on the atom in μB.
Positions (direct):
Re  0.000  0.500  0.000  1.94
Re  0.500  0.000  0.000  1.94
Cu  0.500  0.500  0.500  0.03
Rb  0.000  0.000  0.500  0.01
Al  0.000  0.000  0.000  -0.02

VASP energy	-4.57	eV/atom

=====

No. 7
Material: SrTbZn2Au5
Method: DFT, GGA-PBE
State: relaxed

a = 4.563 Å, b = 4.563 Å, c = 9.190 Å
α = 90.00°, β = 90.00°, γ = 90.00°
Positions (direct):
Sr  0.000  0.000  0.500
Tb  0.000  0.000  0.000
Zn  0.500  0.500  0.130
Zn  0.500  0.500  0.870
Au  0.000  0.500  0.256
Au  0.500  0.000  0.256
Au  0.000  0.500  0.744
Au  0.500  0.000  0.744
Au  0.500  0.500  0.500

VASP energy	-3.28	eV/atom

=====

No. 8
Material: Cs2TePb2Se2
Method: DFT, GGA-PBE
State: relaxed

a = 4.364 Å, b = 7.585 Å, c = 10.569 Å
α = 61.18°, β = 89.99°, γ = 73.24°
Positions (direct):
Cs  0.436  0.128  0.662
Cs  0.564  0.872  0.338
Te  0.000  0.000  0.000
Pb  0.764  0.473  0.873
Pb  0.236  0.527  0.127
Se  0.815  0.370  0.330
Se  0.185  0.630  0.670

VASP energy	-3.48	eV/atom

=====

What did the first record say?
Material: Ac3Y3PuTe8
Method: DFT, GGA-PBE
State: relaxed

a = 8.970 Å, b = 8.970 Å, c = 9.155 Å
α = 119.34°, β = 90.00°, γ = 120.00°
Last column: magnetic moment on the atom in μB.
Positions (direct):
Ac  0.000  0.000  0.000  0.02
Ac  0.000  0.500  0.000  0.02
Ac  0.500  0.500  0.000  0.02
Y  0.500  0.000  0.500  0.04
Y  0.500  0.500  0.500  0.04
Y  0.000  0.500  0.500  0.04
Pu  0.000  0.000  0.500  5.54
Te  0.258  0.517  0.275  0.00
Te  0.742  0.483  0.725  0.00
Te  0.749  0.497  0.265  -0.02
Te  0.251  0.503  0.735  -0.02
Te  0.749  0.017  0.265  -0.02
Te  0.251  0.983  0.735  -0.02
Te  0.268  0.017  0.265  -0.02
Te  0.732  0.983  0.735  -0.02

VASP energy	-6.14	eV/atom

=====

Please write out number 2 again, unchanged.
Material: Pt2Br3
Method: DFT, GGA-PBE
State: relaxed

a = 8.159 Å, b = 7.042 Å, c = 7.380 Å
α = 68.86°, β = 53.61°, γ = 57.53°
Positions (direct):
Pt  0.455  0.400  0.365
Pt  0.365  0.779  0.455
Pt  0.850  0.795  0.471
Pt  0.471  0.885  0.850
Br  0.333  0.294  0.766
Br  0.766  0.607  0.333
Br  0.956  0.917  0.643
Br  0.643  0.484  0.956
Br  0.080  0.920  0.080
Br  0.330  0.170  0.330

VASP energy	-3.41	eV/atom